# 1
Density functional theory data (GGA-PBE) for an optimized crystal structure of Na2CaBr4.

Values from the calculation:
E in eV per atom: -3.241
Crystal system: tetragonal
E_form (uncorrected) in meV per atom: -1622
Distance to the lowest polymorph of the same formula in meV per atom: 139
N(E_F) in states/eV/f.u.: 0.00

```
Na2CaBr4
1.0
-2.8394 2.8394 7.6846
2.8394 -2.8394 7.6846
2.8394 2.8394 -7.6846
Na Ca Br
2 1 4
Direct
0.1369 0.1369 0.0000
0.8631 0.8631 0.0000
0.5000 0.5000 0.0000
0.0000 0.5000 0.5000
0.3164 0.3164 0.0000
0.5000 0.0000 0.5000
0.6836 0.6836 0.0000
```



# 2
Density functional theory data (GGA-PBE) for an optimized crystal structure of CsCdHg2Te.

Values from the calculation:
E in eV per atom: -1.425
Crystal system: tetragonal
E_form (uncorrected) in meV per atom: -322
N(E_F) in states/eV/f.u.: 1.48

```
CsCdHg2Te
1.0
5.8295 0.0000 0.0000
0.0000 5.8295 0.0000
0.0000 0.0000 5.8824
Cs Cd Hg Te
1 1 2 1
Direct
0.0000 0.0000 0.0000
0.5000 0.5000 0.5000
0.0000 0.5000 0.5000
0.5000 0.0000 0.5000
0.5000 0.5000 0.0000
```



# 3
Density functional theory data (GGA-PBE) for an optimized crystal structure of Pr6Rh2CCl3.

Values from the calculation:
E in eV per atom: -5.882
Crystal system: monoclinic
E_form (uncorrected) in meV per atom: -1036
N(E_F) in states/eV/f.u.: 10.33

```
Pr6Rh2CCl3
1.0
3.5268 -6.1085 0.0000
3.5268 6.1085 0.0000
-2.2863 0.0000 7.4473
Pr Rh C Cl
6 2 1 3
Direct
0.0630 0.3733 0.1969
0.2501 0.2501 0.8022
0.3733 0.0630 0.1969
0.6267 0.9370 0.8031
0.7499 0.7499 0.1978
0.9370 0.6267 0.8031
0.3323 0.6677 0.0000
0.6677 0.3323 0.0000
0.0000 0.0000 0.0000
0.1578 0.8422 0.5000
0.5000 0.5000 0.5000
0.8422 0.1578 0.5000
```



# 4
Density functional theory data (GGA-PBE) for an optimized crystal structure of WCSCl2.

Values from the calculation:
E in eV per atom: -4.717
Crystal system: tetragonal
E_form (uncorrected) in meV per atom: 1283
Distance to the lowest polymorph of the same formula in meV per atom: 0
N(E_F) in states/eV/f.u.: 5.31

```
WCSCl2
1.0
4.7900 0.0000 0.0000
0.0000 4.7900 0.0000
0.0000 0.0000 4.6291
W C S Cl
1 1 1 2
Direct
0.0000 0.0000 0.0000
0.5000 0.5000 0.5000
0.0000 0.0000 0.5000
0.0000 0.5000 0.0000
0.5000 0.0000 0.0000
```



# 5
Density functional theory data (GGA-PBE) for an optimized crystal structure of NiBAu.

Values from the calculation:
E in eV per atom: -5.031
Formation energy in eV per atom: 0.2145
Crystal system: monoclinic
N(E_F) in states/eV/f.u.: 1.23

```
NiBAu
1.0
3.0196 -1.6652 0.0000
3.0196 1.6652 0.0000
-1.9674 0.0000 3.6771
Ni B Au
1 1 1
Direct
0.0000 0.0000 0.0000
0.2850 0.2850 0.8655
0.5013 0.5013 0.5008
```



# 6
Density functional theory data (GGA-PBE) for an optimized crystal structure of Si2TcAu.

Values from the calculation:
E in eV per atom: -5.844
Crystal system: tetragonal
E_form (uncorrected) in meV per atom: 278
Distance to the lowest polymorph of the same formula in meV per atom: 442
N(E_F) in states/eV/f.u.: 3.34

```
Si2TcAu
1.0
2.8684 0.0000 0.0000
0.0000 2.8684 0.0000
0.0000 0.0000 7.5079
Si Tc Au
2 1 1
Direct
0.0000 0.0000 0.0000
0.5000 0.5000 0.2413
0.0000 0.0000 0.4374
0.5000 0.5000 0.7143
```



# 7
Density functional theory data (GGA-PBE) for an optimized crystal structure of Tm4SbAs2Se.

Values from the calculation:
E in eV per atom: -5.821
Crystal system: monoclinic
E_form (uncorrected) in meV per atom: -1472
N(E_F) in states/eV/f.u.: 1.36

```
Tm4SbAs2Se
1.0
7.1286 0.0000 0.0000
0.0000 4.1187 0.0000
-2.3652 0.0000 6.7668
Tm Sb As Se
4 1 2 1
Direct
0.2415 0.0000 0.2341
0.2528 0.5000 0.7648
0.7472 0.5000 0.2352
0.7585 0.0000 0.7659
0.5000 0.5000 0.5000
0.0000 0.5000 0.0000
0.5000 0.0000 0.0000
0.0000 0.0000 0.5000
```



# 8
Density functional theory data (GGA-PBE) for an optimized crystal structure of Rb4Sm3HoSe8.

Values from the calculation:
E in eV per atom: -4.892
Crystal system: trigonal
E_form (uncorrected) in meV per atom: -1736
N(E_F) in states/eV/f.u.: 0.00

```
Rb4Sm3HoSe8
1.0
4.3020 2.4837 8.0092
-4.3020 2.4837 8.0092
0.0000 -4.9675 8.0092
Rb Sm Ho Se
4 3 1 8
Direct
0.0000 0.0000 0.0000
0.0000 0.5000 0.5000
0.5000 0.0000 0.5000
0.5000 0.5000 0.0000
0.0000 0.0000 0.5000
0.0000 0.5000 0.0000
0.5000 0.0000 0.0000
0.5000 0.5000 0.5000
0.2332 0.2332 0.2332
0.2379 0.7297 0.7297
0.2703 0.2703 0.7621
0.2703 0.7621 0.2703
0.7297 0.2379 0.7297
0.7297 0.7297 0.2379
0.7621 0.2703 0.2703
0.7668 0.7668 0.7668
```



# 9
Density functional theory data (GGA-PBE) for an optimized crystal structure of BaLiW2Se.

Values from the calculation:
E in eV per atom: -5.077
Crystal system: tetragonal
E_form (uncorrected) in meV per atom: 1568
N(E_F) in states/eV/f.u.: 5.72

```
BaLiW2Se
1.0
4.4653 0.0000 0.0000
0.0000 4.4653 0.0000
0.0000 0.0000 5.8453
Ba Li W Se
1 1 2 1
Direct
0.0000 0.0000 0.0000
0.0000 0.0000 0.5000
0.0000 0.5000 0.5000
0.5000 0.0000 0.5000
0.5000 0.5000 0.0000
```



# 10
Density functional theory data (GGA-PBE) for an optimized crystal structure of CeThScSn.

Values from the calculation:
E in eV per atom: -6.085
Formation energy in eV per atom: -0.1625
Crystal system: cubic
N(E_F) in states/eV/f.u.: 8.68

```
CeThScSn
1.0
0.0000 3.7648 3.7648
3.7648 0.0000 3.7648
3.7648 3.7648 0.0000
Ce Th Sc Sn
1 1 1 1
Direct
0.0000 0.0000 0.0000
0.7500 0.7500 0.7500
0.5000 0.5000 0.5000
0.2500 0.2500 0.2500
```



# 11
Density functional theory data (GGA-PBE) for an optimized crystal structure of Na3Zr2PdSe6.

Values from the calculation:
E in eV per atom: -5.011
Crystal system: monoclinic
E_form (uncorrected) in meV per atom: -1081
N(E_F) in states/eV/f.u.: 4.81

```
Na3Zr2PdSe6
1.0
3.4475 -5.8596 0.0000
3.4475 5.8596 0.0000
-2.4389 0.0000 6.9731
Na Zr Pd Se
3 2 1 6
Direct
0.0000 0.0000 0.0000
0.3343 0.6657 0.0000
0.6657 0.3343 0.0000
0.1643 0.8357 0.5000
0.8357 0.1643 0.5000
0.5000 0.5000 0.5000
0.0938 0.4286 0.2860
0.2252 0.2252 0.7316
0.4286 0.0938 0.2860
0.5714 0.9062 0.7140
0.7748 0.7748 0.2684
0.9062 0.5714 0.7140
```



# 12
Density functional theory data (GGA-PBE) for an optimized crystal structure of CoPb2Au.

Values from the calculation:
E in eV per atom: -4.057
Formation energy in eV per atom: 0.3929
Crystal system: monoclinic
Distance to the lowest polymorph of the same formula in meV per atom: 175
N(E_F) in states/eV/f.u.: 5.70

```
CoPb2Au
1.0
3.5272 -3.5240 0.0000
3.5272 3.5240 0.0000
-0.0207 0.0000 3.5041
Co Pb Au
1 2 1
Direct
0.0000 0.0000 0.0000
0.0000 0.5000 0.5000
0.5000 0.0000 0.5000
0.5000 0.5000 0.0000
```



# 13
Density functional theory data (GGA-PBE) for an optimized crystal structure of SrEr2S4.

Values from the calculation:
E in eV per atom: -6.025
Crystal system: orthorhombic
E_form (uncorrected) in meV per atom: -2122
Distance to the lowest polymorph of the same formula in meV per atom: 15

```
SrEr2S4
1.0
1.9739 -6.4801 0.0000
1.9739 6.4801 0.0000
0.0000 0.0000 13.3847
Sr Er S
2 4 8
Direct
0.1118 0.8882 0.7500
0.8882 0.1118 0.2500
0.3658 0.6342 0.5690
0.3658 0.6342 0.9310
0.6342 0.3658 0.0690
0.6342 0.3658 0.4310
0.0000 0.0000 0.0000
0.0000 0.0000 0.5000
0.2691 0.7309 0.1136
0.2691 0.7309 0.3864
0.4467 0.5533 0.7500
0.5533 0.4467 0.2500
0.7309 0.2691 0.6136
0.7309 0.2691 0.8864
```



# 14
Density functional theory data (GGA-PBE) for an optimized crystal structure of Rb3LiMg2F9.

Values from the calculation:
E in eV per atom: -4.577
Crystal system: trigonal
E_form (uncorrected) in meV per atom: -2920
N(E_F) in states/eV/f.u.: 14.31

```
Rb3LiMg2F9
1.0
5.8606 0.0000 0.0000
-2.9303 5.0754 0.0000
0.0000 0.0000 7.2624
Rb Li Mg F
3 1 2 9
Direct
0.0000 0.0000 0.0000
0.3333 0.6667 0.6576
0.6667 0.3333 0.3424
0.0000 0.0000 0.5000
0.3333 0.6667 0.1589
0.6667 0.3333 0.8411
0.0000 0.5000 0.0000
0.1721 0.3442 0.3243
0.1721 0.8279 0.3243
0.3442 0.1721 0.6757
0.5000 0.0000 0.0000
0.5000 0.5000 0.0000
0.6558 0.8279 0.3243
0.8279 0.1721 0.6757
0.8279 0.6558 0.6757
```



# 15
Density functional theory data (GGA-PBE) for an optimized crystal structure of PaV2Se2S4.

Values from the calculation:
E in eV per atom: -6.467
Crystal system: trigonal
E_form (uncorrected) in meV per atom: -777
N(E_F) in states/eV/f.u.: 5.50

```
PaV2Se2S4
1.0
3.4097 0.0000 0.0000
-1.7049 2.9529 0.0000
0.0000 0.0000 19.6579
Pa V Se S
1 2 2 4
Direct
0.0000 0.0000 0.0000
0.0000 0.0000 0.6598
0.6667 0.3333 0.3454
0.6667 0.3333 0.1007
0.6667 0.3333 0.8997
0.0000 0.0000 0.2720
0.0000 0.0000 0.4180
0.6667 0.3333 0.5875
0.6667 0.3333 0.7326
```



# 16
Density functional theory data (GGA-PBE) for an optimized crystal structure of LiCdCuSb.

Values from the calculation:
E in eV per atom: -2.857
Crystal system: cubic
E_form (uncorrected) in meV per atom: -95
N(E_F) in states/eV/f.u.: 2.14

```
LiCdCuSb
1.0
0.0000 3.3440 3.3440
3.3440 0.0000 3.3440
3.3440 3.3440 0.0000
Li Cd Cu Sb
1 1 1 1
Direct
0.0000 0.0000 0.0000
0.7500 0.7500 0.7500
0.5000 0.5000 0.5000
0.2500 0.2500 0.2500
```



# 17
Density functional theory data (GGA-PBE) for an optimized crystal structure of ZnSb2Pt9.

Values from the calculation:
E in eV per atom: -5.591
Crystal system: tetragonal
E_form (uncorrected) in meV per atom: -267
N(E_F) in states/eV/f.u.: 4.22

```
ZnSb2Pt9
1.0
4.0334 0.0000 0.0000
0.0000 4.0334 0.0000
0.0000 0.0000 12.1023
Zn Sb Pt
1 2 9
Direct
0.0000 0.0000 0.0000
0.0000 0.0000 0.3195
0.0000 0.0000 0.6805
0.0000 0.5000 0.1593
0.0000 0.5000 0.5000
0.0000 0.5000 0.8407
0.5000 0.0000 0.1593
0.5000 0.0000 0.5000
0.5000 0.0000 0.8407
0.5000 0.5000 0.0000
0.5000 0.5000 0.3345
0.5000 0.5000 0.6655
```



# 18
Density functional theory data (GGA-PBE) for an optimized crystal structure of Ca2ZnSi.

Values from the calculation:
E in eV per atom: -2.695
Crystal system: trigonal
E_form (uncorrected) in meV per atom: -20
Distance to the lowest polymorph of the same formula in meV per atom: 380
N(E_F) in states/eV/f.u.: 3.14

```
Ca2ZnSi
1.0
1.8781 1.0843 8.8170
-1.8781 1.0843 8.8170
0.0000 -2.1686 8.8170
Ca Zn Si
2 1 1
Direct
0.2451 0.2451 0.2451
0.7549 0.7549 0.7549
0.0000 0.0000 0.0000
0.5000 0.5000 0.5000
```



# 19
Density functional theory data (GGA-PBE) for an optimized crystal structure of SrCe2Cl7.

Values from the calculation:
E in eV per atom: -4.835
Crystal system: trigonal
E_form (uncorrected) in meV per atom: -2188
N(E_F) in states/eV/f.u.: 20.47

```
SrCe2Cl7
1.0
2.4927 1.4392 13.8376
-2.4927 1.4392 13.8376
0.0000 -2.8784 13.8376
Sr Ce Cl
1 2 7
Direct
0.0000 0.0000 0.0000
0.4329 0.4329 0.4329
0.5671 0.5671 0.5671
0.0726 0.0726 0.0726
0.2191 0.2191 0.2191
0.3583 0.3583 0.3583
0.5000 0.5000 0.5000
0.6417 0.6417 0.6417
0.7809 0.7809 0.7809
0.9274 0.9274 0.9274
```



# 20
Density functional theory data (GGA-PBE) for an optimized crystal structure of CsK4Hg4.

Values from the calculation:
E in eV per atom: -0.899
Formation energy in eV per atom: -0.1818
Crystal system: tetragonal
Distance to the lowest polymorph of the same formula in meV per atom: 0
N(E_F) in states/eV/f.u.: 5.75

```
CsK4Hg4
1.0
8.5581 0.0000 0.0000
0.0000 8.5581 0.0000
0.0000 0.0000 12.0167
Cs K Hg
2 8 8
Direct
0.2500 0.7500 0.2500
0.7500 0.2500 0.7500
0.0034 0.2500 0.1040
0.2500 0.0034 0.6040
0.2500 0.4966 0.6040
0.4966 0.2500 0.1040
0.5034 0.7500 0.8960
0.7500 0.5034 0.3960
0.7500 0.9966 0.3960
0.9966 0.7500 0.8960
0.0777 0.2500 0.3923
0.2500 0.0777 0.8923
0.2500 0.4223 0.8923
0.4223 0.2500 0.3923
0.5777 0.7500 0.6077
0.7500 0.5777 0.1077
0.7500 0.9223 0.1077
0.9223 0.7500 0.6077
```



# 21
Density functional theory data (GGA-PBE) for an optimized crystal structure of PuCuPb2S5.

Values from the calculation:
E in eV per atom: -5.888
Crystal system: orthorhombic
E_form (uncorrected) in meV per atom: -724
N(E_F) in states/eV/f.u.: 6.81

```
PuCuPb2S5
1.0
1.9831 -8.5096 0.0000
1.9831 8.5096 0.0000
0.0000 0.0000 12.6988
Pu Cu Pb S
2 2 4 10
Direct
0.2021 0.7979 0.5000
0.7979 0.2021 0.0000
0.4333 0.5667 0.9061
0.5667 0.4333 0.4061
0.0936 0.9064 0.1350
0.1202 0.8798 0.7963
0.8798 0.1202 0.2963
0.9064 0.0936 0.6350
0.0495 0.9505 0.4998
0.2866 0.7134 0.1395
0.3018 0.6982 0.8623
0.3571 0.6429 0.4763
0.4989 0.5011 0.2507
0.5011 0.4989 0.7507
0.6429 0.3571 0.9763
0.6982 0.3018 0.3623
0.7134 0.2866 0.6395
0.9505 0.0495 0.9998
```



# 22
Density functional theory data (GGA-PBE) for an optimized crystal structure of TbErZr2P4.

Values from the calculation:
E in eV per atom: -7.472
Formation energy in eV per atom: -1.4813
Crystal system: monoclinic
N(E_F) in states/eV/f.u.: 4.01

```
TbErZr2P4
1.0
6.6592 0.0000 0.0000
0.0000 3.8410 0.0000
-2.2254 0.0000 6.3609
Tb Er Zr P
1 1 2 4
Direct
0.0000 0.0000 0.0000
0.5000 0.5000 0.0000
0.0000 0.5000 0.5000
0.5000 0.0000 0.5000
0.2474 0.0000 0.7372
0.2565 0.5000 0.2641
0.7435 0.5000 0.7359
0.7526 0.0000 0.2628
```



# 23
Density functional theory data (GGA-PBE) for an optimized crystal structure of Ce2SnHPt6.

Values from the calculation:
E in eV per atom: -6.136
Crystal system: monoclinic
N(E_F) in states/eV/f.u.: 13.50

```
Ce2SnHPt6
1.0
4.5714 -4.6488 0.0000
4.5714 4.6488 0.0000
-3.5626 0.0000 4.4682
Ce Sn H Pt
2 1 1 6
Direct
0.2271 0.7729 0.0000
0.7729 0.2271 0.0000
0.0000 0.0000 0.5000
0.5000 0.5000 0.5000
0.2817 0.7183 0.5000
0.3038 0.3038 0.0558
0.3059 0.3059 0.5567
0.6941 0.6941 0.4433
0.6962 0.6962 0.9442
0.7183 0.2817 0.5000
```